Entry 1:
Material: TlAg2Os
Method: DFT, PBE
State: relaxed

Cell lengths 4.6549, 4.6549, 4.6549 Å; angles 60.00, 60.00, 60.00 degrees
Last column: nearest neighbours and their distance in Å.
Element x y z (fractional)
1 Ag 0.0000 0.0000 0.0000  4 Ag 2.85, 4 Os 2.85
2 Ag 0.7500 0.7500 0.7500  4 Ag 2.85, 4 Tl 2.85
3 Os 0.2500 0.2500 0.2500  4 Tl 2.85, 4 Ag 2.85
4 Tl 0.5000 0.5000 0.5000  4 Os 2.85, 4 Ag 2.85



Entry 2:
Material: Tl2CoHgBr6
Method: DFT, PBE
State: relaxed

Cell lengths 7.5304, 7.5304, 7.5304 Å; angles 60.00, 60.00, 60.00 degrees
Last column: nearest neighbours and their distance in Å.
Element x y z (fractional)
1 Br 0.7694 0.7694 0.2306  1 Co 2.46
2 Br 0.7694 0.2306 0.2306  1 Co 2.46
3 Br 0.2306 0.7694 0.2306  1 Co 2.46
4 Br 0.2306 0.2306 0.7694  1 Co 2.46
5 Br 0.7694 0.2306 0.7694  1 Co 2.46
6 Br 0.2306 0.7694 0.7694  1 Co 2.46
7 Co 0.0000 0.0000 0.0000  6 Br 2.46
8 Hg 0.5000 0.5000 0.5000  6 Br 2.87
9 Tl 0.2500 0.2500 0.2500  12 Br 3.77
10 Tl 0.7500 0.7500 0.7500  12 Br 3.77



Which calculated total energy belongs to each record? In order, -16.19, -26.80 eV per cell.
Which total moment belongs to each record? In order, 0.0006, 0.0018 μB per atom.